No. 1
An optimized crystal structure of Al2CoPd. Source: the Alexandria database, functional PBE.

Lattice parameters (Å, degrees): 5.3865 5.3865 5.3865 105.25 105.25 118.29
Atoms (fractional coordinates):
Al 0.1078 0.6250 0.9828
Al 0.3750 0.3578 0.4828
Al 0.6422 0.1250 0.0172
Al 0.8750 0.8922 0.5172
Co 0.0000 0.0000 0.0000
Co 0.7500 0.2500 0.5000
Pd 0.2500 0.7500 0.5000
Pd 0.5000 0.5000 0.0000

Computed properties:
The calculation puts the calculated formation energy at -0.155 eV/atom. As for the symmetry: I-42d.

***

No. 2
An optimized crystal structure of CaSbH. Source: the Alexandria database, functional PBE.

Lattice parameters (Å, degrees): 7.5858 8.1472 4.6540 90.00 90.00 90.00
Atoms (fractional coordinates):
Ca 0.0000 0.0000 0.0000
Ca 0.0000 0.5000 0.0000
Ca 0.5000 0.0000 0.5000
Ca 0.5000 0.5000 0.5000
Sb 0.1704 0.2500 0.4492
Sb 0.3296 0.7500 0.9492
Sb 0.6704 0.2500 0.0508
Sb 0.8296 0.7500 0.5508
H 0.0015 0.7500 0.2875
H 0.4985 0.2500 0.7875
H 0.5015 0.7500 0.2125
H 0.9985 0.2500 0.7125

Computed properties:
As for the symmetry: Pnma. The calculation puts the offset from the most stable computed form at 69.5 meV/atom.

***

No. 3
An optimized crystal structure of CaMg6B. Source: the Alexandria database, functional PBE.

Lattice parameters (Å, degrees): 4.5960 7.2823 7.2823 47.52 90.00 90.00
Atoms (fractional coordinates):
Ca 0.0000 0.0000 0.0000
Mg 0.0000 0.5006 0.9924
Mg 0.0000 0.9924 0.5006
Mg 0.5000 0.1535 0.6235
Mg 0.5000 0.1605 0.1605
Mg 0.5000 0.6028 0.6028
Mg 0.5000 0.6235 0.1535
B 0.0000 0.3954 0.3954

Computed properties:
The calculation puts the calculated formation energy at 0.267 eV/atom. As for the symmetry: Amm2.

***

No. 4
An optimized crystal structure of Ba2BeP. Source: the Alexandria database, functional PBE.

Lattice parameters (Å, degrees): 9.5046 9.5046 9.5046 23.80 23.80 23.80
Atoms (fractional coordinates):
Ba 0.0000 0.0000 0.0000
Ba 0.1744 0.1744 0.1744
Be 0.7539 0.7539 0.7539
P 0.4205 0.4205 0.4205

Computed properties:
The calculation puts the calculated formation energy at -0.439 eV/atom. As for the symmetry: R3m. The calculation puts the offset from the most stable computed form at 0.0 meV/atom.

***

No. 5
An optimized crystal structure of Tb3Pm2Cd2. Source: the Alexandria database, functional PBE.

Lattice parameters (Å, degrees): 16.5593 16.5593 3.5549 90.00 90.00 167.53
Atoms (fractional coordinates):
Tb 0.0000 0.0000 0.0000
Tb 0.4246 0.5754 0.5000
Tb 0.5754 0.4246 0.5000
Pm 0.2972 0.7028 0.5000
Pm 0.7028 0.2972 0.5000
Cd 0.1375 0.8625 0.0000
Cd 0.8625 0.1375 0.0000

Computed properties:
The calculation puts the calculated formation energy at -0.104 eV/atom. As for the symmetry: Cmmm. The calculation puts the offset from the most stable computed form at 46.8 meV/atom.

***

No. 6
An optimized crystal structure of Rb4Ho3MnTe8. Source: the Alexandria database, functional PBE.

Lattice parameters (Å, degrees): 9.9661 9.9661 9.9661 53.05 53.05 53.05
Atoms (fractional coordinates):
Rb 0.0000 0.0000 0.0000
Rb 0.0000 0.5000 0.5000
Rb 0.5000 0.0000 0.5000
Rb 0.5000 0.5000 0.0000
Ho 0.0000 0.0000 0.5000
Ho 0.0000 0.5000 0.0000
Ho 0.5000 0.0000 0.0000
Mn 0.5000 0.5000 0.5000
Te 0.2337 0.2337 0.2337
Te 0.2458 0.7222 0.7222
Te 0.2778 0.2778 0.7542
Te 0.2778 0.7542 0.2778
Te 0.7222 0.2458 0.7222
Te 0.7222 0.7222 0.2458
Te 0.7542 0.2778 0.2778
Te 0.7663 0.7663 0.7663

Computed properties:
The calculation puts the uncorrected formation energy at -1120.9 meV per atom. As for the symmetry: R-3m.